DFT (PBE) results for an optimized crystal structure of NaAsRhW2.

raw total energy	-6.19	eV/atom
energy relative to the elements	1652	meV per atom
theoretical density	8.27	g/cm3

Cell and atoms, written as POSCAR:
```
NaAsRhW2
1.0
4.864 0.000 0.000
0.000 4.827 0.000
0.000 0.000 4.864
Na As Rh W
1 1 1 2
direct
0.500 0.500 0.500
0.000 0.500 0.000
0.000 0.000 0.000
0.000 0.000 0.500
0.500 0.000 0.000
```